A) # Tb3Y8

A relaxed Tb3Y8 crystal (PBE-GGA, Alexandria via LeMat-Bulk).

Cell lengths 12.4765, 12.4765, 8.4969 Å; angles 90.00, 90.00, 120.00 degrees
With the nearest neighbours (Å) after each atom.
Space group R-3 (No. 148, hexagonal axes)
One atom of each set of equivalent atoms:
Tb: 0.0000 0.5000 0.0000  6 Y 3.27-3.56
Y: 0.0000 0.0000 0.2480  6 Y 3.62-3.94, 3 Tb 3.67
Y: 0.0568 0.6036 0.6333  3 Y 3.18-3.19, 3 Tb 3.27-3.56

Output
The value obtained for the density is 5.167 Mg/m³. As for the crystal system: trigonal.

---

B) # Tb3Y8

A relaxed Tb3Y8 crystal (PBE-GGA, Alexandria via LeMat-Bulk).

Cell lengths 9.6948, 9.6948, 13.4376 Å; angles 90.00, 90.00, 120.00 degrees
With the nearest neighbours (Å) after each atom.
Space group R-3 (No. 148, hexagonal axes)
One atom of each set of equivalent atoms:
Tb: 0.0000 0.5000 0.0000  6 Y 2.87-3.20
Y: 0.0000 0.0000 0.3802  3 Tb 2.87
Y: 0.0374 0.2294 0.1124  2 Tb 3.18-3.20

Output
The value obtained for the density is 5.411 Mg/m³. As for the crystal system: trigonal.

---

Out of the structures above, which one is the most stable? Solution: A).